A) {
  "formula": "ThZn2Ir2",
  "functional": "GGA-PBE",
  "state": "optimized geometry",
  "lattice": [[3.9901, 0.0000, 0.0000], [0.0000, 3.9901, 0.0000], [0.0000, 0.0000, 5.9175]],
  "species": ["Th", "Zn", "Zn", "Ir", "Ir"],
  "fractional_positions": [[0.0000, 0.0000, 0.0000], [0.0000, 0.5000, 0.5000], [0.5000, 0.0000, 0.5000], [0.5000, 0.5000, 0.2213], [0.5000, 0.5000, 0.7787]]
}

***

B) {
  "formula": "ThZn2Ir2",
  "functional": "GGA-PBE",
  "state": "optimized geometry",
  "lattice": [[-2.0860, 2.0860, 10.7329], [2.0860, -2.0860, 10.7329], [2.0860, 2.0860, -10.7329]],
  "species": ["Th", "Th", "Zn", "Zn", "Zn", "Zn", "Ir", "Ir", "Ir", "Ir"],
  "fractional_positions": [[0.1353, 0.1353, 0.0000], [0.8647, 0.8647, 0.0000], [0.0000, 0.5000, 0.5000], [0.3156, 0.3156, 0.0000], [0.5000, 0.0000, 0.5000], [0.6844, 0.6844, 0.0000], [0.2500, 0.7500, 0.5000], [0.4300, 0.4300, 0.0000], [0.5700, 0.5700, 0.0000], [0.7500, 0.2500, 0.5000]]
}

***

Of them, the most stable is A) and the least stable is B).

***

A) {
  "formula": "ThZn4Ir",
  "functional": "GGA-PBE",
  "state": "optimized geometry",
  "lattice": [[7.3195, 0.0000, 0.0000], [0.0000, 4.3148, 0.0000], [0.0000, 0.0000, 7.0989]],
  "species": ["Th", "Th", "Zn", "Zn", "Zn", "Zn", "Zn", "Zn", "Zn", "Zn", "Ir", "Ir"],
  "fractional_positions": [[0.2500, 0.0000, 0.1192], [0.7500, 0.0000, 0.8808], [0.0000, 0.0000, 0.5000], [0.0594, 0.5000, 0.8113], [0.2500, 0.5000, 0.4683], [0.4406, 0.5000, 0.8113], [0.5000, 0.0000, 0.5000], [0.5594, 0.5000, 0.1887], [0.7500, 0.5000, 0.5317], [0.9406, 0.5000, 0.1887], [0.2500, 0.0000, 0.7336], [0.7500, 0.0000, 0.2664]]
}

***

B) {
  "formula": "ThZn4Ir",
  "functional": "GGA-PBE",
  "state": "optimized geometry",
  "lattice": [[0.0000, 3.7293, 3.7293], [3.7293, 0.0000, 3.7293], [3.7293, 3.7293, 0.0000]],
  "species": ["Th", "Zn", "Zn", "Zn", "Zn", "Ir"],
  "fractional_positions": [[0.0000, 0.0000, 0.0000], [0.3769, 0.3769, 0.3769], [0.3769, 0.3769, 0.8693], [0.3769, 0.8693, 0.3769], [0.8693, 0.3769, 0.3769], [0.7500, 0.7500, 0.7500]]
}

***

Of them, the most stable is A) and the least stable is B).

***

A) {
  "formula": "ThZn4Ir2",
  "functional": "GGA-PBE",
  "state": "optimized geometry",
  "lattice": [[7.9278, 0.0000, 0.0000], [0.0000, 7.9278, 0.0000], [0.0000, 0.0000, 3.9263]],
  "species": ["Th", "Th", "Zn", "Zn", "Zn", "Zn", "Zn", "Zn", "Zn", "Zn", "Ir", "Ir", "Ir", "Ir"],
  "fractional_positions": [[0.0000, 0.0000, 0.0000], [0.5000, 0.5000, 0.5000], [0.0963, 0.3493, 0.5000], [0.1507, 0.5963, 0.0000], [0.3493, 0.0963, 0.5000], [0.4037, 0.8493, 0.0000], [0.5963, 0.1507, 0.0000], [0.6507, 0.9037, 0.5000], [0.8493, 0.4037, 0.0000], [0.9037, 0.6507, 0.5000], [0.1885, 0.8115, 0.5000], [0.3115, 0.3115, 0.0000], [0.6885, 0.6885, 0.0000], [0.8115, 0.1885, 0.5000]]
}

***

B) {
  "formula": "ThZn4Ir2",
  "functional": "GGA-PBE",
  "state": "optimized geometry",
  "lattice": [[2.0054, -7.7591, 0.0000], [2.0054, 7.7591, 0.0000], [0.0000, 0.0000, 3.9964]],
  "species": ["Th", "Zn", "Zn", "Zn", "Zn", "Ir", "Ir"],
  "fractional_positions": [[0.0000, 0.0000, 0.0000], [0.1906, 0.8094, 0.5000], [0.3114, 0.6886, 0.0000], [0.6886, 0.3114, 0.0000], [0.8094, 0.1906, 0.5000], [0.4171, 0.5829, 0.5000], [0.5829, 0.4171, 0.5000]]
}

***

Of them, the most stable is A) and the least stable is B).

***

A) {
  "formula": "ThZrIr2",
  "functional": "GGA-PBE",
  "state": "optimized geometry",
  "lattice": [[3.2872, 0.0000, 0.0000], [0.0000, 3.2872, 0.0000], [0.0000, 0.0000, 7.4934]],
  "species": ["Th", "Zr", "Ir", "Ir"],
  "fractional_positions": [[0.0000, 0.0000, 0.0000], [0.0000, 0.0000, 0.5000], [0.5000, 0.5000, 0.2873], [0.5000, 0.5000, 0.7127]]
}

***

B) {
  "formula": "ThZrIr2",
  "functional": "GGA-PBE",
  "state": "optimized geometry",
  "lattice": [[2.0472, 1.1819, 6.1524], [-2.0472, 1.1819, 6.1524], [0.0000, -2.3639, 6.1524]],
  "species": ["Th", "Zr", "Ir", "Ir"],
  "fractional_positions": [[0.0000, 0.0000, 0.0000], [0.5000, 0.5000, 0.5000], [0.2390, 0.2390, 0.2390], [0.7610, 0.7610, 0.7610]]
}

***

Of them, the most stable is B) and the least stable is A).

***

A) {
  "formula": "Ti5Ir",
  "functional": "GGA-PBE",
  "state": "optimized geometry",
  "lattice": [[3.0547, 0.0000, 0.0000], [0.0000, 3.0547, 0.0000], [0.0000, 0.0000, 10.5611]],
  "species": ["Ti", "Ti", "Ti", "Ti", "Ti", "Ir"],
  "fractional_positions": [[0.0000, 0.0000, 0.0000], [0.0000, 0.0000, 0.3485], [0.0000, 0.0000, 0.6515], [0.5000, 0.5000, 0.1792], [0.5000, 0.5000, 0.8208], [0.5000, 0.5000, 0.5000]]
}

***

B) {
  "formula": "Ti5Ir",
  "functional": "GGA-PBE",
  "state": "optimized geometry",
  "lattice": [[1.5305, -6.9297, 0.0000], [1.5305, 6.9297, 0.0000], [0.0000, 0.0000, 4.5563]],
  "species": ["Ti", "Ti", "Ti", "Ti", "Ti", "Ir"],
  "fractional_positions": [[0.0000, 0.0000, 0.0000], [0.1613, 0.8387, 0.5000], [0.3325, 0.6675, 0.0000], [0.6675, 0.3325, 0.0000], [0.8387, 0.1613, 0.5000], [0.5000, 0.5000, 0.5000]]
}

***

Of them, the most stable is B) and the least stable is A).

***

A) {
  "formula": "TiTl2Ir2",
  "functional": "GGA-PBE",
  "state": "optimized geometry",
  "lattice": [[-1.8026, 1.8026, 8.3158], [1.8026, -1.8026, 8.3158], [1.8026, 1.8026, -8.3158]],
  "species": ["Ti", "Tl", "Tl", "Ir", "Ir"],
  "fractional_positions": [[0.0000, 0.0000, 0.0000], [0.3900, 0.3900, 0.0000], [0.6100, 0.6100, 0.0000], [0.2500, 0.7500, 0.5000], [0.7500, 0.2500, 0.5000]]
}

***

B) {
  "formula": "TiTl2Ir2",
  "functional": "GGA-PBE",
  "state": "optimized geometry",
  "lattice": [[7.9295, 0.0000, 0.0000], [0.0000, 7.9295, 0.0000], [0.0000, 0.0000, 3.0234]],
  "species": ["Ti", "Ti", "Tl", "Tl", "Tl", "Tl", "Ir", "Ir", "Ir", "Ir"],
  "fractional_positions": [[0.0000, 0.0000, 0.0000], [0.5000, 0.5000, 0.0000], [0.1344, 0.3656, 0.0000], [0.3656, 0.8656, 0.0000], [0.6344, 0.1344, 0.0000], [0.8656, 0.6344, 0.0000], [0.1672, 0.6672, 0.5000], [0.3328, 0.1672, 0.5000], [0.6672, 0.8328, 0.5000], [0.8328, 0.3328, 0.5000]]
}

***

Of them, the most stable is B) and the least stable is A).

***

A) {
  "formula": "TiTl2Ir",
  "functional": "GGA-PBE",
  "state": "optimized geometry",
  "lattice": [[-3.8690, 3.8690, 2.8621], [3.8690, -3.8690, 2.8621], [3.8690, 3.8690, -2.8621]],
  "species": ["Ti", "Ti", "Tl", "Tl", "Tl", "Tl", "Ir", "Ir"],
  "fractional_positions": [[0.0000, 0.0000, 0.0000], [0.7500, 0.2500, 0.5000], [0.1410, 0.6250, 0.0160], [0.3750, 0.3910, 0.5160], [0.6090, 0.1250, 0.9840], [0.8750, 0.8590, 0.4840], [0.2500, 0.7500, 0.5000], [0.5000, 0.5000, 0.0000]]
}

***

B) {
  "formula": "TiTl2Ir",
  "functional": "GGA-PBE",
  "state": "optimized geometry",
  "lattice": [[0.0000, 3.3669, 3.3669], [3.3669, 0.0000, 3.3669], [3.3669, 3.3669, 0.0000]],
  "species": ["Ti", "Tl", "Tl", "Ir"],
  "fractional_positions": [[0.0000, 0.0000, 0.0000], [0.2500, 0.2500, 0.2500], [0.7500, 0.7500, 0.7500], [0.5000, 0.5000, 0.5000]]
}

***

Of them, the most stable is B) and the least stable is A).

***

A) {
  "formula": "UTi2Ir",
  "functional": "GGA-PBE",
  "state": "optimized geometry",
  "lattice": [[0.0000, 3.2184, 3.2184], [3.2184, 0.0000, 3.2184], [3.2184, 3.2184, 0.0000]],
  "species": ["U", "Ti", "Ti", "Ir"],
  "fractional_positions": [[0.0000, 0.0000, 0.0000], [0.2500, 0.2500, 0.2500], [0.7500, 0.7500, 0.7500], [0.5000, 0.5000, 0.5000]]
}

***

B) {
  "formula": "UTi2Ir",
  "functional": "GGA-PBE",
  "state": "optimized geometry",
  "lattice": [[4.7148, 0.0000, 0.0000], [0.0000, 4.7148, 0.0000], [0.0000, 0.0000, 2.9973]],
  "species": ["U", "Ti", "Ti", "Ir"],
  "fractional_positions": [[0.0000, 0.0000, 0.0000], [0.0000, 0.5000, 0.5000], [0.5000, 0.0000, 0.5000], [0.5000, 0.5000, 0.0000]]
}

***

C) {
  "formula": "UTi2Ir",
  "functional": "GGA-PBE",
  "state": "optimized geometry",
  "lattice": [[2.9468, 0.0000, 0.0000], [0.0000, 2.9468, 0.0000], [0.0000, 0.0000, 7.9393]],
  "species": ["U", "Ti", "Ti", "Ir"],
  "fractional_positions": [[0.0000, 0.0000, 0.0000], [0.5000, 0.5000, 0.2870], [0.5000, 0.5000, 0.7130], [0.0000, 0.0000, 0.5000]]
}

***

Of them, the most stable is C) and the least stable is A).